No. 1
KLa2Mg (GGA-PBE, optimized geometry); energy relative to the elements = 0.208 eV/atom; total magnetic moment = 0.000 μB/cell
1.0
6.3335 -1.7561 0.0000
6.3335 1.7561 0.0000
-0.7825 0.0000 6.6367
K La Mg
1 2 1
Cartesian
0.0000 0.0000 0.0000
2.4743 0.0000 4.6901
9.4102 0.0000 1.9466
5.9422 0.0000 3.3183


No. 2
MnRu2Rh (GGA-PBE, optimized geometry); energy relative to the elements = 0.047 eV/atom; total magnetic moment = 1.586 μB/cell
1.0
-1.8835 1.8835 3.8146
1.8835 -1.8835 3.8146
1.8835 1.8835 -3.8146
Mn Ru Rh
1 2 1
Cartesian
0.0000 0.0000 0.0000
1.8835 0.0000 1.9073
0.0000 1.8835 1.9073
0.0000 0.0000 3.8146


No. 3
Rb3V5S12 (GGA-PBE, optimized geometry); uncorrected formation energy = -0.81 eV per atom; total magnetic moment = 16.010 μB/cell
1.0
-7.8324 7.8324 7.8324
7.8324 -7.8324 7.8324
7.8324 7.8324 -7.8324
Rb V S
12 20 48
Cartesian
3.9162 1.9581 0.0000
7.8324 3.9162 -1.9581
1.9581 0.0000 3.9162
9.7904 0.0000 3.9162
0.0000 3.9162 1.9581
3.9162 -1.9581 7.8324
3.9162 9.7904 0.0000
7.8324 3.9162 5.8743
-1.9581 7.8324 3.9162
5.8743 7.8324 3.9162
0.0000 3.9162 9.7904
3.9162 5.8743 7.8324
0.0000 0.0000 0.0000
3.9162 3.9162 -3.9162
3.9162 -3.9162 3.9162
7.8324 0.0000 0.0000
11.7485 1.9581 0.0000
7.8324 -3.9162 5.8743
5.8743 7.8324 -3.9162
5.8743 0.0000 3.9162
3.9162 5.8743 0.0000
7.8324 3.9162 1.9581
-3.9162 3.9162 3.9162
0.0000 7.8324 0.0000
0.0000 0.0000 7.8324
3.9162 3.9162 3.9162
0.0000 3.9162 5.8743
3.9162 1.9581 7.8324
1.9581 7.8324 3.9162
1.9581 0.0000 11.7485
0.0000 11.7485 1.9581
-3.9162 5.8743 7.8324
6.1698 -4.5536 4.6172
13.4111 0.7011 -0.6374
10.0859 0.7011 0.6374
9.4949 -3.2787 4.6172
11.1111 3.2151 -1.6626
8.4698 -5.5788 7.1313
4.6172 6.1698 -4.5536
7.1313 -0.6374 2.2536
7.1313 8.4698 -5.5788
4.6172 -1.6626 4.5536
4.5536 4.6172 -1.6626
7.1949 2.2536 0.7011
12.3860 3.2151 1.6626
7.1949 -2.2536 7.1313
7.1313 7.1949 -2.2536
4.6172 1.6626 3.2787
4.6172 9.4949 -3.2787
7.1313 0.6374 5.5788
3.2787 4.6172 1.6626
8.4698 5.5788 0.7011
2.2536 7.1313 -0.6374
9.4949 3.2787 3.2151
5.5788 7.1313 0.6374
6.1698 4.5536 3.2151
1.6626 3.2787 4.6172
2.2536 0.7011 7.1949
-1.6626 4.5536 4.6172
5.5788 0.7011 8.4698
-0.6374 2.2536 7.1313
4.5536 3.2151 6.1698
0.7011 7.1949 2.2536
3.2151 -1.6626 11.1111
3.2151 6.1698 4.5536
0.7011 0.6374 10.0859
0.6374 10.0859 0.7011
-4.5536 4.6172 6.1698
0.6374 5.5788 7.1313
3.2787 3.2151 9.4949
3.2151 9.4949 3.2787
0.7011 -0.6374 13.4111
0.7011 8.4698 5.5788
3.2151 1.6626 12.3860
-0.6374 13.4111 0.7011
-3.2787 4.6172 9.4949
-1.6626 11.1111 3.2151
-2.2536 7.1313 7.1949
-5.5788 7.1313 8.4698
1.6626 12.3860 3.2151


No. 4
CaTlAgF6 (GGA-PBE, optimized geometry); uncorrected formation energy = -2.35 eV per atom; total magnetic moment = 0.103 μB/cell
1.0
5.3235 0.0000 0.0000
0.0000 5.3235 0.0000
0.0000 0.0000 10.9208
Ca Tl Ag F
2 2 2 12
Cartesian
0.0000 0.0000 0.0000
2.6618 2.6618 5.4604
0.0000 0.0000 7.2712
2.6618 2.6618 1.8108
0.0000 0.0000 3.6265
2.6618 2.6618 9.0869
0.9636 0.9636 9.0359
1.0631 1.0631 5.6468
1.1081 1.1081 1.6644
1.5536 3.7699 7.1248
1.5986 3.7249 0.1864
1.6982 3.6253 3.5755
3.6253 1.6982 3.5755
3.7249 1.5986 0.1864
3.7699 1.5536 7.1248
4.2154 4.2154 1.6644
4.2604 4.2604 5.6468
4.3599 4.3599 9.0359


No. 5
LiLaErSc (GGA-PBE, optimized geometry); energy relative to the elements = 0.154 eV/atom; total magnetic moment = 0.000 μB/cell
1.0
0.0000 3.8392 3.8392
3.8392 0.0000 3.8392
3.8392 3.8392 0.0000
Li La Er Sc
1 1 1 1
Cartesian
0.0000 0.0000 0.0000
1.9196 1.9196 1.9196
5.7588 5.7588 5.7588
3.8392 3.8392 3.8392


No. 6
TmLuAgHg (GGA-PBE, optimized geometry); energy relative to the elements = -0.409 eV/atom; total magnetic moment = 0.000 μB/cell
1.0
0.0000 3.6184 3.6184
3.6184 0.0000 3.6184
3.6184 3.6184 0.0000
Tm Lu Ag Hg
1 1 1 1
Cartesian
0.0000 0.0000 0.0000
3.6184 3.6184 3.6184
1.8092 1.8092 1.8092
5.4275 5.4275 5.4275


No. 7
Pm2AlGa3Cu4 (GGA-PBE, optimized geometry); energy relative to the elements = -0.445 eV/atom; total magnetic moment = 0.000 μB/cell
1.0
4.1975 0.0000 0.0000
0.0000 4.1975 0.0000
0.0000 0.0000 10.1471
Pm Al Ga Cu
2 1 3 4
Cartesian
0.0000 2.0988 2.4708
2.0988 0.0000 7.6763
0.0000 0.0000 5.0736
0.0000 2.0988 8.8328
2.0988 0.0000 1.3143
2.0988 2.0988 5.0736
0.0000 0.0000 0.0000
0.0000 2.0988 6.4209
2.0988 0.0000 3.7262
2.0988 2.0988 0.0000